Version a
Entry from the Alexandria database: a relaxed structure of SnBi2Te (PBE).

Computed properties:
- volume (Å³/cell) = 120
- total magnetization (μB/cell) = 0.00

Cell lengths 5.529, 5.529, 5.529 Å; angles 60.00, 60.00, 60.00 degrees
Positions (direct):
Te 0.500 0.500 0.500
Bi 0.250 0.250 0.250
Bi 0.750 0.750 0.750
Sn 0.000 0.000 0.000

***

Version b
Entry from the Alexandria database: a relaxed structure of SnBi2Te (PBE).

Computed properties:
- volume (Å³/cell) = 275
- total magnetization (μB/cell) = 0.00

Cell lengths 4.542, 4.617, 13.514 Å; angles 90.00, 76.19, 90.00 degrees
Positions (direct):
Sn 0.311 0.250 0.391
Sn 0.689 0.750 0.609
Bi 0.674 0.250 0.136
Bi 0.326 0.750 0.864
Bi 0.202 0.750 0.099
Bi 0.798 0.250 0.901
Te 0.833 0.750 0.379
Te 0.167 0.250 0.621

***

Short version: version a is the least stable of them.

***

Version a
Entry from the Alexandria database: a relaxed structure of SnBi2Te (PBE).

Computed properties:
- volume (Å³/cell) = 365
- total magnetization (μB/cell) = 0.00

Cell lengths 7.305, 7.305, 8.577 Å; angles 64.80, 64.80, 90.00 degrees
Positions (direct):
Te 0.000 0.000 0.000
Te 0.750 0.250 0.500
Bi 0.615 0.125 0.250
Bi 0.135 0.625 0.250
Bi 0.375 0.385 0.750
Bi 0.875 0.865 0.750
Sn 0.500 0.500 0.000
Sn 0.250 0.750 0.500

***

Version b
Entry from the Alexandria database: a relaxed structure of SnBi2Te (PBE).

Computed properties:
- volume (Å³/cell) = 132
- total magnetization (μB/cell) = 0.00

Cell lengths 4.538, 4.538, 7.857 Å; angles 73.22, 73.22, 60.00 degrees
Positions (direct):
Te 0.000 0.000 0.000
Bi 0.245 0.245 0.266
Bi 0.755 0.755 0.734
Sn 0.500 0.500 0.500

***

Short version: version a is the least stable of them.

***

Version a
Entry from the Alexandria database: a relaxed structure of SnBiTe3 (PBE).

Computed properties:
- volume (Å³/cell) = 393
- total magnetization (μB/cell) = 0.00

Cell lengths 4.407, 8.367, 10.669 Å; angles 90.00, 90.00, 90.00 degrees
Positions (direct):
Sn 0.500 0.000 0.144
Sn 0.000 0.500 0.856
Bi 0.500 0.000 0.543
Bi 0.000 0.500 0.457
Te 0.500 0.745 0.334
Te 0.000 0.755 0.666
Te 0.000 0.245 0.666
Te 0.500 0.255 0.334
Te 0.000 0.000 0.974
Te 0.500 0.500 0.026

***

Version b
Entry from the Alexandria database: a relaxed structure of SnBiTe3 (PBE).

Computed properties:
- volume (Å³/cell) = 243
- total magnetization (μB/cell) = 0.00

Cell lengths 4.259, 7.968, 7.968 Å; angles 116.07, 90.00, 90.00 degrees
Positions (direct):
Sn 0.500 0.057 0.943
Bi 0.000 0.516 0.484
Te 0.500 0.654 0.794
Te 0.000 0.195 0.805
Te 0.500 0.206 0.346

***

Version c
Entry from the Alexandria database: a relaxed structure of SnBiTe3 (PBE).

Computed properties:
- volume (Å³/cell) = 181
- total magnetization (μB/cell) = 0.00

Cell lengths 5.658, 5.658, 5.658 Å; angles 90.00, 90.00, 90.00 degrees
Positions (direct):
Te 0.000 0.500 0.000
Te 0.000 0.000 0.500
Te 0.500 0.000 0.000
Bi 0.500 0.500 0.500
Sn 0.000 0.000 0.000

***

Short version: version c is the least stable of them.

***

Version a
Entry from the Alexandria database: a relaxed structure of Sn4BiTe5 (PBE).

Computed properties:
- volume (Å³/cell) = 331
- total magnetization (μB/cell) = 0.00

Cell lengths 6.409, 7.867, 7.867 Å; angles 80.45, 65.96, 65.96 degrees
Positions (direct):
Sn 0.403 0.402 0.799
Sn 0.806 0.799 0.598
Sn 0.203 0.201 0.402
Sn 0.605 0.598 0.201
Bi 0.002 0.000 0.000
Te 0.897 0.402 0.799
Te 0.299 0.799 0.598
Te 0.696 0.201 0.402
Te 0.097 0.598 0.201
Te 0.502 0.000 0.000

***

Version b
Entry from the Alexandria database: a relaxed structure of Sn4BiTe5 (PBE).

Computed properties:
- volume (Å³/cell) = 330
- total magnetization (μB/cell) = 0.00

Cell lengths 4.632, 4.632, 17.959 Å; angles 82.59, 82.59, 60.00 degrees
Positions (direct):
Sn 0.901 0.901 0.298
Sn 0.300 0.300 0.100
Sn 0.700 0.700 0.900
Sn 0.099 0.099 0.702
Bi 0.500 0.500 0.500
Te 0.401 0.401 0.798
Te 0.000 0.000 0.000
Te 0.599 0.599 0.202
Te 0.800 0.800 0.599
Te 0.200 0.200 0.401

***

Short version: version b is the least stable of them.

***

Version a
Entry from the Alexandria database: a relaxed structure of Sn2BiTe2 (PBE).

Computed properties:
- volume (Å³/cell) = 157
- total magnetization (μB/cell) = 0.00

Cell lengths 4.185, 4.185, 9.440 Å; angles 77.19, 77.19, 90.00 degrees
Positions (direct):
Te 0.402 0.402 0.196
Te 0.598 0.598 0.804
Bi 0.000 0.000 0.000
Sn 0.750 0.250 0.500
Sn 0.250 0.750 0.500

***

Version b
Entry from the Alexandria database: a relaxed structure of Sn2BiTe2 (PBE).

Computed properties:
- volume (Å³/cell) = 161
- total magnetization (μB/cell) = 0.00

Cell lengths 4.335, 4.335, 9.074 Å; angles 76.18, 76.18, 90.00 degrees
Positions (direct):
Te 0.750 0.250 0.500
Te 0.250 0.750 0.500
Bi 0.000 0.000 0.000
Sn 0.408 0.408 0.185
Sn 0.592 0.592 0.815

***

Version c
Entry from the Alexandria database: a relaxed structure of Sn2BiTe2 (PBE).

Computed properties:
- volume (Å³/cell) = 308
- total magnetization (μB/cell) = 0.00

Cell lengths 8.660, 8.660, 4.113 Å; angles 90.00, 90.00, 90.00 degrees
Positions (direct):
Te 0.168 0.668 0.500
Te 0.668 0.832 0.500
Te 0.832 0.332 0.500
Te 0.332 0.168 0.500
Bi 0.000 0.000 0.000
Bi 0.500 0.500 0.000
Sn 0.352 0.852 0.000
Sn 0.852 0.648 0.000
Sn 0.648 0.148 0.000
Sn 0.148 0.352 0.000

***

Short version: version b is the least stable of them.

***

Version a
Entry from the Alexandria database: a relaxed structure of Sn4BiTe3 (PBE).

Computed properties:
- volume (Å³/cell) = 519
- total magnetization (μB/cell) = 0.00

Cell lengths 6.348, 6.365, 12.844 Å; angles 90.00, 90.00, 90.00 degrees
Positions (direct):
Sn 0.065 0.766 0.000
Sn 0.564 0.238 0.000
Sn 0.065 0.252 0.248
Sn 0.565 0.748 0.252
Sn 0.064 0.762 0.500
Sn 0.565 0.234 0.500
Sn 0.565 0.748 0.748
Sn 0.065 0.252 0.752
Bi 0.064 0.265 0.000
Bi 0.564 0.735 0.500
Te 0.564 0.749 0.000
Te 0.064 0.752 0.250
Te 0.564 0.248 0.250
Te 0.064 0.251 0.500
Te 0.564 0.248 0.750
Te 0.064 0.752 0.750

***

Version b
Entry from the Alexandria database: a relaxed structure of Sn4BiTe3 (PBE).

Computed properties:
- volume (Å³/cell) = 517
- total magnetization (μB/cell) = 0.00

Cell lengths 7.788, 7.799, 8.996 Å; angles 90.00, 90.00, 108.81 degrees
Positions (direct):
Te 0.750 0.000 0.376
Te 0.250 0.000 0.624
Te 0.750 0.500 0.624
Te 0.750 0.500 0.126
Te 0.250 0.500 0.376
Te 0.250 0.500 0.874
Sn 0.999 0.249 0.626
Sn 0.499 0.247 0.876
Sn 0.499 0.249 0.374
Sn 0.999 0.247 0.124
Sn 0.001 0.753 0.876
Sn 0.501 0.751 0.626
Sn 0.501 0.753 0.124
Sn 0.001 0.751 0.374
Bi 0.750 0.000 0.875
Bi 0.250 0.000 0.125

***

Short version: version b is the least stable of them.

***

Version a
Entry from the Alexandria database: a relaxed structure of ThSn2Bi (PBE).

Computed properties:
- volume (Å³/cell) = 121
- total magnetization (μB/cell) = 0.00

Cell lengths 3.436, 3.436, 12.036 Å; angles 81.79, 81.79, 60.00 degrees
Positions (direct):
Bi 0.000 0.000 0.000
Th 0.500 0.500 0.500
Sn 0.089 0.089 0.733
Sn 0.911 0.911 0.267

***

Version b
Entry from the Alexandria database: a relaxed structure of ThSn2Bi (PBE).

Computed properties:
- volume (Å³/cell) = 113
- total magnetization (μB/cell) = 0.00

Cell lengths 4.892, 4.797, 4.797 Å; angles 90.00, 90.00, 90.00 degrees
Positions (direct):
Bi 0.500 0.000 0.000
Th 0.500 0.500 0.500
Sn 0.000 0.000 0.500
Sn 0.000 0.500 0.000

***

Short version: version a is the least stable of them.

***

Version a
Entry from the Alexandria database: a relaxed structure of ThSnBi2 (PBE).

Computed properties:
- volume (Å³/cell) = 118
- total magnetization (μB/cell) = 0.00

Cell lengths 4.768, 4.968, 4.968 Å; angles 90.00, 90.00, 90.00 degrees
Positions (direct):
Bi 0.000 0.000 0.500
Bi 0.000 0.500 0.000
Th 0.500 0.500 0.500
Sn 0.500 0.000 0.000

***

Version b
Entry from the Alexandria database: a relaxed structure of ThSnBi2 (PBE).

Computed properties:
- volume (Å³/cell) = 129
- total magnetization (μB/cell) = 0.00

Cell lengths 3.491, 3.491, 12.352 Å; angles 81.88, 81.88, 60.00 degrees
Positions (direct):
Bi 0.089 0.089 0.733
Bi 0.911 0.911 0.267
Th 0.500 0.500 0.500
Sn 0.000 0.000 0.000

***

Short version: version b is the least stable of them.

***

Version a
Entry from the Alexandria database: a relaxed structure of Ti2Sn2Bi (PBE).

Computed properties:
- volume (Å³/cell) = 123
- total magnetization (μB/cell) = 0.00

Cell lengths 4.435, 4.435, 6.995 Å; angles 71.52, 71.52, 90.00 degrees
Positions (direct):
Ti 0.750 0.250 0.500
Ti 0.250 0.750 0.500
Bi 0.000 0.000 0.000
Sn 0.385 0.385 0.231
Sn 0.615 0.615 0.769

***

Version b
Entry from the Alexandria database: a relaxed structure of Ti2Sn2Bi (PBE).

Computed properties:
- volume (Å³/cell) = 223
- total magnetization (μB/cell) = 0.00

Cell lengths 7.395, 7.395, 4.071 Å; angles 90.00, 90.00, 90.00 degrees
Positions (direct):
Ti 0.361 0.861 0.000
Ti 0.861 0.639 0.000
Ti 0.639 0.139 0.000
Ti 0.139 0.361 0.000
Bi 0.000 0.000 0.000
Bi 0.500 0.500 0.000
Sn 0.157 0.657 0.500
Sn 0.657 0.843 0.500
Sn 0.843 0.343 0.500
Sn 0.343 0.157 0.500

***

Short version: version a is the least stable of them.

***

Version a
Entry from the Alexandria database: a relaxed structure of Tl2SnBi2 (PBE).

Computed properties:
- volume (Å³/cell) = 351
- total magnetization (μB/cell) = 0.00

Cell lengths 8.129, 8.129, 5.306 Å; angles 90.00, 90.00, 90.00 degrees
Positions (direct):
Tl 0.174 0.674 0.500
Tl 0.674 0.826 0.500
Tl 0.826 0.326 0.500
Tl 0.326 0.174 0.500
Bi 0.367 0.867 0.000
Bi 0.867 0.633 0.000
Bi 0.633 0.133 0.000
Bi 0.133 0.367 0.000
Sn 0.000 0.000 0.000
Sn 0.500 0.500 0.000

***

Version b
Entry from the Alexandria database: a relaxed structure of Tl2SnBi2 (PBE).

Computed properties:
- volume (Å³/cell) = 167
- total magnetization (μB/cell) = 0.00

Cell lengths 4.429, 4.429, 9.090 Å; angles 75.90, 75.90, 90.00 degrees
Positions (direct):
Tl 0.750 0.250 0.500
Tl 0.250 0.750 0.500
Bi 0.411 0.411 0.179
Bi 0.589 0.589 0.821
Sn 0.000 0.000 0.000

***

Version c
Entry from the Alexandria database: a relaxed structure of Tl2SnBi2 (PBE).

Computed properties:
- volume (Å³/cell) = 173
- total magnetization (μB/cell) = 0.00

Cell lengths 4.422, 4.422, 9.378 Å; angles 76.36, 76.36, 90.00 degrees
Positions (direct):
Tl 0.405 0.405 0.189
Tl 0.595 0.595 0.811
Bi 0.750 0.250 0.500
Bi 0.250 0.750 0.500
Sn 0.000 0.000 0.000

***

Version d
Entry from the Alexandria database: a relaxed structure of Tl2SnBi2 (PBE).

Computed properties:
- volume (Å³/cell) = 326
- total magnetization (μB/cell) = 0.00

Cell lengths 5.622, 6.462, 10.285 Å; angles 103.10, 90.00, 115.78 degrees
Positions (direct):
Tl 0.964 0.927 0.659
Tl 0.158 0.316 0.047
Tl 0.036 0.073 0.341
Tl 0.842 0.684 0.953
Sn 0.736 0.472 0.310
Sn 0.264 0.528 0.690
Bi 0.350 0.701 0.423
Bi 0.473 0.946 0.144
Bi 0.650 0.299 0.577
Bi 0.527 0.054 0.856

***

Short version: version c is the least stable of them.

***

Version a
Entry from the Alexandria database: a relaxed structure of Tl2SnBi (PBE).

Computed properties:
- volume (Å³/cell) = 123
- total magnetization (μB/cell) = 0.00

Cell lengths 5.578, 5.578, 5.578 Å; angles 60.00, 60.00, 60.00 degrees
Positions (direct):
Tl 0.250 0.250 0.250
Tl 0.750 0.750 0.750
Bi 0.000 0.000 0.000
Sn 0.500 0.500 0.500

***

Version b
Entry from the Alexandria database: a relaxed structure of Tl2SnBi (PBE).

Computed properties:
- volume (Å³/cell) = 137
- total magnetization (μB/cell) = 0.00

Cell lengths 4.478, 5.700, 6.382 Å; angles 71.11, 69.46, 66.87 degrees
Positions (direct):
Tl 0.883 0.742 0.493
Tl 0.722 0.397 0.159
Sn 0.113 0.856 0.918
Bi 0.492 0.267 0.748

***

Short version: version a is the least stable of them.